[1]
# meta-GGA SCAN LuMg3, PBEsol geometry
# * E_form: -12 meV per atom
# * VASP energy: -17.5787 eV per atom
data_LuMg3
_space_group_name_H-M_alt 'P 63/m m c'
_space_group_IT_number 194
_space_group_name_Hall '-P 6c 2c'
_cell_length_a 6.5389
_cell_length_b 6.5389
_cell_length_c 5.1263
_cell_angle_alpha 90.00
_cell_angle_beta 90.00
_cell_angle_gamma 120.00
loop_
_atom_site_label
_atom_site_type_symbol
_atom_site_fract_x
_atom_site_fract_y
_atom_site_fract_z
Lu1 Lu 0.3333 0.6667 0.2500
Mg1 Mg 0.1648 0.3295 0.7500


[2]
# meta-GGA SCAN Lu5Mg24, PBEsol geometry
# * E_form: -30 meV per atom
# * VASP energy: -13.6882 eV per atom
data_Lu5Mg24
_space_group_name_H-M_alt 'I -4 3 m'
_space_group_IT_number 217
_space_group_name_Hall 'I -4 2 3'
_cell_length_a 11.0795
_cell_length_b 11.0795
_cell_length_c 11.0795
_cell_angle_alpha 90.00
_cell_angle_beta 90.00
_cell_angle_gamma 90.00
loop_
_atom_site_label
_atom_site_type_symbol
_atom_site_fract_x
_atom_site_fract_y
_atom_site_fract_z
Lu1 Lu 0.0000 0.0000 0.0000
Lu2 Lu 0.1846 0.1846 0.1846
Mg1 Mg 0.0346 0.3565 0.6435
Mg2 Mg 0.0904 0.0904 0.7192


For reference, V by record: 189.8 1360.1 Å³/cell.